Compound: Th4NiRu
Source: Alexandria
Functional: PBE
Structure: optimized geometry

Summary:
**DFT formation energy**: -29.43 kJ per mole of atoms

a = 6.0911 Å, b = 7.0647 Å, c = 7.0647 Å
α = 90.00°, β = 90.00°, γ = 90.00°
Positions (direct):
Th 0.0000 0.1702 0.6675
Th 0.0000 0.8298 0.3325
Th 0.0000 0.3325 0.1702
Th 0.0000 0.6675 0.8298
Th 0.5000 0.8298 0.6675
Th 0.5000 0.1702 0.3325
Th 0.5000 0.6675 0.1702
Th 0.5000 0.3325 0.8298
Ni 0.2500 0.0000 0.0000
Ni 0.7500 0.0000 0.0000
Ru 0.2500 0.5000 0.5000
Ru 0.7500 0.5000 0.5000